HgO | Alexandria via LeMat-Bulk | PBE-GGA | relaxed; electronic total energy = -2.71 eV/atom; formation energy from raw total energies = -0.08 eV/atom; N(E_F) = 0.83 states/eV per cell
1.0
1.652 -5.640 0.000
1.652 5.640 0.000
0.000 0.000 3.378
Hg O
2 2
Cartesian
1.652 4.163 2.534 Hg
1.652 -4.163 0.845 Hg
1.652 1.577 2.534 O
1.652 -1.577 0.845 O

HgO2 | Alexandria via LeMat-Bulk | PBE-GGA | relaxed; electronic total energy = -3.34 eV/atom; formation energy from raw total energies = 0.06 eV/atom; N(E_F) = 0.23 states/eV per cell
1.0
3.038 -2.123 0.000
3.038 2.123 0.000
-2.864 0.000 3.797
Hg O
1 2
Cartesian
0.000 0.000 0.000 Hg
1.793 0.000 1.185 O
1.419 0.000 2.612 O

HgO | Alexandria via LeMat-Bulk | PBE-GGA | relaxed; electronic total energy = -2.82 eV/atom; formation energy from raw total energies = -0.19 eV/atom; N(E_F) = 2.24 states/eV per cell
1.0
-3.559 3.559 3.559
3.559 -3.559 3.559
3.559 3.559 -3.559
Hg O
4 4
Cartesian
1.269 1.269 -1.269 Hg
1.269 -1.269 1.269 Hg
-1.269 1.269 1.269 Hg
2.290 2.290 2.290 Hg
2.491 2.491 -2.491 O
2.491 -2.491 2.491 O
1.068 1.068 1.068 O
-2.491 2.491 2.491 O

HgO | Alexandria via LeMat-Bulk | PBE-GGA | relaxed; electronic total energy = -2.91 eV/atom; formation energy from raw total energies = -0.28 eV/atom
1.0
6.779 0.000 0.000
0.000 6.817 0.000
0.000 0.000 6.866
Hg O
8 8
Cartesian
1.640 0.027 2.010 Hg
1.687 3.490 3.986 Hg
1.702 3.327 0.553 Hg
1.749 6.790 5.443 Hg
5.029 3.382 4.856 Hg
5.076 6.736 2.880 Hg
5.092 0.081 6.313 Hg
5.139 3.436 1.423 Hg
0.825 6.076 3.746 O
0.852 2.635 2.312 O
2.538 4.183 5.745 O
2.564 0.741 0.313 O
4.215 4.150 3.120 O
4.241 0.774 4.554 O
5.927 6.043 1.121 O
5.954 2.667 6.553 O

HgOsO4 | Alexandria via LeMat-Bulk | PBE-GGA | relaxed; electronic total energy = -6.04 eV/atom; formation energy from raw total energies = -0.81 eV/atom; N(E_F) = 5.38 states/eV per cell
1.0
4.898 -6.215 0.000
4.898 6.215 0.000
-2.926 0.000 4.783
Hg Os O
2 2 8
Cartesian
2.703 6.205 3.587 Hg
4.166 -6.205 1.196 Hg
4.166 1.831 1.196 Os
2.703 -1.831 3.587 Os
1.181 2.841 4.571 O
2.749 0.831 1.244 O
4.225 2.841 2.604 O
1.285 -0.831 3.635 O
5.584 0.831 1.148 O
2.644 -2.841 2.179 O
4.120 -0.831 3.539 O
5.688 -2.841 0.212 O

HgOsO6 | Alexandria via LeMat-Bulk | PBE-GGA | relaxed; electronic total energy = -5.43 eV/atom; formation energy from raw total energies = -0.27 eV/atom; N(E_F) = 2.94 states/eV per cell
1.0
2.394 -4.411 0.000
2.394 4.411 0.000
-1.385 0.000 5.559
Hg Os O
1 1 6
Cartesian
0.000 0.000 0.000 Hg
1.701 0.000 2.780 Os
-0.243 0.000 3.326 O
1.329 1.272 1.515 O
2.074 1.272 4.044 O
1.329 -1.272 1.515 O
2.074 -1.272 4.044 O
3.645 0.000 2.233 O

What did the fourth record say?
HgO | Alexandria via LeMat-Bulk | PBE-GGA | relaxed; electronic total energy = -2.91 eV/atom; formation energy from raw total energies = -0.28 eV/atom
1.0
6.779 0.000 0.000
0.000 6.817 0.000
0.000 0.000 6.866
Hg O
8 8
Cartesian
1.640 0.027 2.010 Hg
1.687 3.490 3.986 Hg
1.702 3.327 0.553 Hg
1.749 6.790 5.443 Hg
5.029 3.382 4.856 Hg
5.076 6.736 2.880 Hg
5.092 0.081 6.313 Hg
5.139 3.436 1.423 Hg
0.825 6.076 3.746 O
0.852 2.635 2.312 O
2.538 4.183 5.745 O
2.564 0.741 0.313 O
4.215 4.150 3.120 O
4.241 0.774 4.554 O
5.927 6.043 1.121 O
5.954 2.667 6.553 O

- Which of these has the highest formation energy from raw total energies?
  HgO2

- Which value of formation energy from raw total energies does entry 1 give?
  -0.08 eV/atom

- Which of these has the highest formation energy from raw total energies?
  HgO2